Compound: Sr2InFeAs
Source: Alexandria via LeMat-Bulk
Functional: PBE
Structure: relaxed Values from VASP.

```
&SYSTEM
  ibrav = 0, nat = 5, ntyp = 4
/
ATOMIC_SPECIES
Sr 87.62 Sr.upf
In 114.82 In.upf
Fe 55.84 Fe.upf
As 74.92 As.upf
ATOMIC_POSITIONS crystal
Sr 0.000 0.500 0.000
Sr 0.500 0.000 0.000
In 0.000 0.000 0.500
Fe 0.500 0.500 0.500
As 0.000 0.000 0.000
CELL_PARAMETERS angstrom
5.915 0.000 0.000
0.000 5.915 0.000
0.000 0.000 5.229
```

Calculated values
Calculated volume   36.6 A^3/atom
DFT formation energy   0.306 eV per atom

---

Compound: RbYIO6
Source: Alexandria via LeMat-Bulk
Functional: PBE
Structure: relaxed Values from VASP.

```
&SYSTEM
  ibrav = 0, nat = 9, ntyp = 4
/
ATOMIC_SPECIES
Rb 85.47 Rb.upf
Y 88.91 Y.upf
I 126.90 I.upf
O 16.00 O.upf
ATOMIC_POSITIONS crystal
Rb 0.000 0.000 0.000
Y 0.333 0.667 0.500
I 0.667 0.333 0.500
O 0.409 0.049 0.678
O 0.409 0.360 0.322
O 0.640 0.049 0.322
O 0.640 0.591 0.678
O 0.951 0.360 0.678
O 0.951 0.591 0.322
CELL_PARAMETERS angstrom
5.747 0.000 0.000
-2.874 4.977 0.000
0.000 0.000 6.110
```

Calculated values
Calculated volume   19.4 A^3/atom
E_form (uncorrected)   -12.4 eV/f.u.

---

Compound: Ac5MgPb4
Source: Alexandria via LeMat-Bulk
Functional: PBE
Structure: relaxed Values from VASP.

```
&SYSTEM
  ibrav = 0, nat = 10, ntyp = 3
/
ATOMIC_SPECIES
Ac 227.00 Ac.upf
Mg 24.30 Mg.upf
Pb 207.20 Pb.upf
ATOMIC_POSITIONS crystal
Ac 0.000 0.000 0.000
Ac 0.322 0.322 0.910
Ac 0.342 0.342 0.368
Ac 0.658 0.658 0.632
Ac 0.678 0.678 0.090
Mg 0.000 0.000 0.500
Pb 0.148 0.148 0.354
Pb 0.483 0.483 0.723
Pb 0.517 0.517 0.277
Pb 0.852 0.852 0.646
CELL_PARAMETERS angstrom
9.095 -2.263 0.000
9.095 2.263 0.000
-1.314 0.000 9.345
```

Calculated values
Calculated volume   38.5 A^3/atom
DFT formation energy   -0.239 eV per atom

---

Compound: Er2HgAu
Source: Alexandria via LeMat-Bulk
Functional: PBE
Structure: relaxed Values from VASP.

```
&SYSTEM
  ibrav = 0, nat = 8, ntyp = 3
/
ATOMIC_SPECIES
Er 167.26 Er.upf
Hg 200.59 Hg.upf
Au 196.97 Au.upf
ATOMIC_POSITIONS crystal
Er 0.250 0.000 0.118
Er 0.250 0.000 0.637
Er 0.750 0.000 0.363
Er 0.750 0.000 0.882
Hg 0.250 0.500 0.382
Hg 0.750 0.500 0.618
Au 0.250 0.500 0.875
Au 0.750 0.500 0.125
CELL_PARAMETERS angstrom
5.138 0.000 0.000
0.000 3.618 0.000
0.000 0.000 10.289
```

Calculated values
Calculated volume   23.9 A^3/atom
DFT formation energy   -0.683 eV per atom

---

- Look up the calculated volume of the first one.
  36.6 A^3/atom